1.
A plane-wave DFT calculation with GGA-PBE was carried out for a geometry-optimized AlTl2As structure.

Unit cell a=4.686 b=4.686 c=9.229 alpha=90.00 beta=90.00 gamma=90.00
Space group I4/mmm (No. 139)
One atom of each set of equivalent atoms:
Al1 0.000 0.000 0.000 [2 per cell]
Tl1 0.000 0.500 0.250 [4 per cell]
As1 0.000 0.000 0.500 [2 per cell]

Results
**ΔE to the lowest computed polymorph**: 326 meV/atom
**Calculated total energy**: -3.01 eV per atom

2.
A plane-wave DFT calculation with GGA-PBE was carried out for a geometry-optimized SrZnNi2 structure.

Unit cell a=4.339 b=5.327 c=6.661 alpha=90.00 beta=90.00 gamma=90.00
Space group Immm (No. 71)
One atom of each set of equivalent atoms:
Sr1 0.000 0.000 0.000 [2 per cell]
Zn1 0.000 0.000 0.500 [2 per cell]
Ni1 0.000 0.500 0.180 [4 per cell]

Results
**Calculated total energy**: -3.46 eV per atom

3.
A plane-wave DFT calculation with GGA-PBE was carried out for a geometry-optimized MgAl2Pb structure.

Unit cell a=6.153 b=8.713 c=3.318 alpha=90.00 beta=90.00 gamma=90.00
Space group Cmmm (No. 65)
One atom of each set of equivalent atoms:
Mg1 0.000 0.000 0.000 [2 per cell]
Al1 0.250 0.250 0.500 [4 per cell]
Pb1 0.000 0.500 0.000 [2 per cell]

Results
**Calculated total energy**: -3.04 eV per atom

4.
A plane-wave DFT calculation with GGA-PBE was carried out for a geometry-optimized Mg4Sc5Pd structure.

Unit cell a=3.491 b=3.491 c=18.074 alpha=90.00 beta=90.00 gamma=90.00
Space group P4/mmm (No. 123)
One atom of each set of equivalent atoms:
Mg1 0.000 0.000 0.104 [2 per cell]
Mg2 0.000 0.000 0.311 [2 per cell]
Sc1 0.500 0.500 0.000 [1 per cell]
Sc2 0.500 0.500 0.208 [2 per cell]
Sc3 0.500 0.500 0.415 [2 per cell]
Pd1 0.000 0.000 0.500 [1 per cell]

Results
**Calculated total energy**: -4.53 eV per atom

5.
A plane-wave DFT calculation with GGA-PBE was carried out for a geometry-optimized ZrAlSi2 structure.

Unit cell a=9.492 b=2.894 c=4.972 alpha=90.00 beta=97.94 gamma=90.00
Space group C2/m (No. 12)
One atom of each set of equivalent atoms:
Zr1 0.000 0.000 0.000 [2 per cell]
Al1 0.000 0.500 0.500 [2 per cell]
Si1 0.246 0.500 0.251 [4 per cell]

Results
**ΔE_f (raw)**: -100 meV/atom
**Calculated total energy**: -5.88 eV per atom

6.
A plane-wave DFT calculation with GGA-PBE was carried out for a geometry-optimized Ta3SbCl structure.

Unit cell a=4.579 b=4.579 c=4.579 alpha=90.00 beta=90.00 gamma=90.00
Space group Pm-3m (No. 221)
One atom of each set of equivalent atoms:
Ta1 0.000 0.000 0.500 [3 per cell]
Sb1 0.500 0.500 0.500 [1 per cell]
Cl1 0.000 0.000 0.000 [1 per cell]

Results
**ΔE_f (raw)**: 868 meV/atom
**ΔE to the lowest computed polymorph**: 0 meV/atom
**Calculated total energy**: -7.44 eV per atom

Size of the total moment values, unit μB per atom, following the record order: 0.00, 0.00, 0.00, 0.00, 0.00, 0.00.